TbDy6Th2: optimized geometry, PBE-GGA.

Geometry as extended XYZ:
```
9
Lattice="-1.7943 -2.1044 2.2468 3.1056 1.4339 0.9978 -12.7232 20.9635 9.4734" Properties=species:S:1:pos:R:3 pbc="T T T"
Tb 1.4723 0.2545 1.4141
Dy -11.4961 17.7514 10.2703
Dy -4.0839 9.4092 5.5511
Dy -8.4867 16.6635 8.8293
Dy -1.2920 4.8090 3.4723
Dy -5.6948 12.0633 6.7505
Dy -1.5492 1.3622 2.8641
Th -4.3495 5.9761 4.9491
Th -8.6958 13.1375 8.1853
```

Properties
The excess energy over the best structure of this formula in the dataset is 0 meV per atom. Its formation energy from the elements is 0.0713 eV/atom.